# 1
# CsCuMoPt

Crystalline CsCuMoPt at its relaxed geometry (PBE-GGA, OQMD).

The calculation puts the spin magnetization at 0.945 μB/atom. The raw total energy is -15.56 eV/f.u. As for the crystal system: cubic.

The structure belongs to space group F-43m (No. 216); the cell edges are 6.953, 6.953 and 6.953 Å and the angles 90.00°, 90.00° and 90.00°. The inequivalent atoms are Cs at (0.000, 0.000, 0.000), Cu at (0.000, 0.000, 0.500), Mo at (0.250, 0.250, 0.250) and Pt at (0.250, 0.250, 0.750).

=====

# 2
# ReBiPt2

Crystalline ReBiPt2 at its relaxed geometry (PBE-GGA, OQMD).

The calculation puts the spin magnetization at 0.011 μB/atom. The raw total energy is -26.47 eV/f.u. As for the crystal system: cubic.

The structure belongs to space group F-43m (No. 216); the cell edges are 6.578, 6.578 and 6.578 Å and the angles 90.00°, 90.00° and 90.00°. The inequivalent atoms are Re at (0.000, 0.000, 0.000), Bi at (0.250, 0.250, 0.750), Pt at (0.000, 0.000, 0.500) and Pt at (0.250, 0.250, 0.250).

=====

# 3
# KTaCdSe3

Crystalline KTaCdSe3 at its relaxed geometry (PBE-GGA, OQMD).

The calculation puts the spin magnetization at 0.310 μB/atom. The raw total energy is -27.65 eV/f.u. As for the crystal system: orthorhombic.

The structure belongs to space group Cmcm (No. 63); the cell edges are 3.910, 15.284 and 10.465 Å and the angles 90.00°, 90.00° and 90.00°. The inequivalent atoms are K at (0.000, 0.246, 0.250), Ta at (0.000, 0.000, 0.000), Cd at (0.000, 0.458, 0.750), Se at (0.000, 0.074, 0.750) and Se at (0.000, 0.377, 0.531).

=====

# 4
# Lu5Be

Crystalline Lu5Be at its relaxed geometry (PBE-GGA, OQMD).

The calculation puts the spin magnetization at 0.006 μB/atom. The raw total energy is -21.29 eV/f.u. As for the crystal system: hexagonal.

The structure belongs to space group P6/mmm (No. 191); the cell edges are 6.1525, 6.1525 and 5.6161 Å and the angles 90.00°, 90.00° and 120.00°. The inequivalent atoms are Lu at (0.0000, 0.5000, 0.0000), Lu at (0.3333, 0.6667, 0.5000) and Be at (0.0000, 0.0000, 0.5000).

=====

# 5
# Cs2AgAuCl6

Crystalline Cs2AgAuCl6 at its relaxed geometry (PBE-GGA, OQMD).

The raw total energy is -29.25 eV/f.u. As for the crystal system: cubic.

The structure belongs to space group Fm-3m (No. 225); the cell edges are 10.384, 10.384 and 10.384 Å and the angles 90.00°, 90.00° and 90.00°. The inequivalent atoms are Cs at (0.250, 0.250, 0.250), Ag at (0.000, 0.000, 0.000), Au at (0.000, 0.000, 0.500) and Cl at (0.000, 0.000, 0.253).

=====

# 6
# HfAlCoAu

Crystalline HfAlCoAu at its relaxed geometry (PBE-GGA, OQMD).

The calculation puts the spin magnetization at 0.071 μB/atom. The raw total energy is -24.75 eV/f.u. As for the crystal system: cubic.

The structure belongs to space group F-43m (No. 216); the cell edges are 6.357, 6.357 and 6.357 Å and the angles 90.00°, 90.00° and 90.00°. The inequivalent atoms are Hf at (0.000, 0.000, 0.000), Al at (0.250, 0.250, 0.250), Co at (0.000, 0.000, 0.500) and Au at (0.250, 0.250, 0.750).

=====

# 7
# LiFeReGe

Crystalline LiFeReGe at its relaxed geometry (PBE-GGA, OQMD).

The calculation puts the spin magnetization at 0.655 μB/atom. The raw total energy is -26.16 eV/f.u. As for the crystal system: cubic.

The structure belongs to space group F-43m (No. 216); the cell edges are 5.887, 5.887 and 5.887 Å and the angles 90.00°, 90.00° and 90.00°. The inequivalent atoms are Li at (0.000, 0.000, 0.000), Fe at (0.250, 0.250, 0.750), Re at (0.250, 0.250, 0.250) and Ge at (0.000, 0.000, 0.500).

=====

# 8
# Lu2CuN

Crystalline Lu2CuN at its relaxed geometry (PBE-GGA, OQMD).

The calculation puts the spin magnetization at 0.000 μB/atom. The raw total energy is -24.50 eV/f.u. As for the crystal system: monoclinic.

The structure belongs to space group C2/c (No. 15); the cell edges are 10.009, 5.751 and 14.622 Å and the angles 90.00°, 103.37° and 90.00°. The inequivalent atoms are Lu at (0.046, 0.080, 0.394), Lu at (0.114, 0.414, 0.590), Lu at (0.222, 0.419, 0.910), Cu at (0.000, 0.443, 0.750), Cu at (0.221, 0.138, 0.750), N at (0.082, 0.245, 0.000) and N at (0.250, 0.250, 0.500).